# 1
Density functional theory data (PBE) for a relaxed Li2Sc2AlGaPd2 crystal.

Values from the calculation:
SG   P-4m2, No. 115
E   -4.864 eV/atom
Mass density   5.3 g cm⁻³

a = 4.4922 Å, b = 4.4922 Å, c = 6.3626 Å
α = 90.00°, β = 90.00°, γ = 90.00°
Last column: nearest neighbours and their distance in Å.
Positions (direct):
Al 0.0000 0.0000 0.0000  4 Pd 2.73, 4 Li 2.76
Ga 0.5000 0.5000 0.5000  4 Li 2.74, 4 Pd 2.77
Li 0.5000 0.0000 0.2531  4 Sc 2.74-2.76, 2 Ga 2.74, 2 Al 2.76
Li 0.0000 0.5000 0.7469  4 Sc 2.74-2.76, 2 Ga 2.74, 2 Al 2.76
Pd 0.0000 0.5000 0.2443  2 Al 2.73, 4 Sc 2.73-2.77, 2 Ga 2.77
Pd 0.5000 0.0000 0.7557  2 Al 2.73, 4 Sc 2.73-2.77, 2 Ga 2.77
Sc 0.5000 0.5000 0.0000  4 Pd 2.73, 4 Li 2.76
Sc 0.0000 0.0000 0.5000  4 Li 2.74, 4 Pd 2.77

# 2
Density functional theory data (PBE) for a relaxed Rb2Hg2S3 crystal.

Values from the calculation:
SG   I2_13, No. 199
E   -2.711 eV/atom
Mass density   3.8 g cm⁻³

a = 9.1274 Å, b = 9.1274 Å, c = 9.1274 Å
α = 109.47°, β = 109.47°, γ = 109.47°
Last column: nearest neighbours and their distance in Å.
Positions (direct):
Hg 0.6191 0.5000 0.0000  3 S 2.51
Hg 0.0000 0.6191 0.5000  3 S 2.51
Hg 0.5000 0.0000 0.6191  3 S 2.51
Hg 0.8809 0.8809 0.8809  3 S 2.51
Rb 0.9991 0.5000 0.0000  3 S 3.25, 1 Hg 3.47
Rb 0.0000 0.9991 0.5000  3 S 3.25, 1 Hg 3.47
Rb 0.5009 0.5009 0.5009  3 S 3.25, 1 Hg 3.47
Rb 0.5000 0.0000 0.9991  3 S 3.25, 1 Hg 3.47
S 0.7500 0.8201 0.0701  2 Hg 2.51
S 0.6799 0.4299 0.2500  2 Hg 2.51
S 0.2500 0.6799 0.4299  2 Hg 2.51
S 0.4299 0.2500 0.6799  2 Hg 2.51
S 0.8201 0.0701 0.7500  2 Hg 2.51
S 0.0701 0.7500 0.8201  2 Hg 2.51

# 3
Density functional theory data (PBE) for a relaxed Mg3CuC crystal.

Values from the calculation:
SG   Pm-3m, No. 221
E   -3.297 eV/atom
Mass density   3.0 g cm⁻³

a = 4.3321 Å, b = 4.3321 Å, c = 4.3321 Å
α = 90.00°, β = 90.00°, γ = 90.00°
Last column: nearest neighbours and their distance in Å.
Positions (direct):
C 0.5000 0.5000 0.5000  6 Mg 2.17
Cu 0.0000 0.0000 0.0000  12 Mg 3.06
Mg 0.5000 0.5000 0.0000  2 C 2.17
Mg 0.5000 0.0000 0.5000  2 C 2.17
Mg 0.0000 0.5000 0.5000  2 C 2.17

# 4
Density functional theory data (PBE) for a relaxed Dy4FeHg crystal.

Values from the calculation:
ΔE_f   -0.19 eV per atom
SG   C2/c, No. 15
E   -4.693 eV/atom
Mass density   9.6 g cm⁻³

a = 7.5474 Å, b = 7.5474 Å, c = 6.1047 Å
α = 98.64°, β = 98.64°, γ = 110.96°
Last column: nearest neighbours and their distance in Å.
Positions (direct):
Dy 0.2678 0.9408 0.0393  2 Fe 2.67-2.70
Dy 0.2032 0.3650 0.0956  2 Fe 2.93-3.01, 2 Hg 3.19-3.21
Dy 0.6350 0.7968 0.4044  2 Fe 2.93-3.01, 2 Hg 3.19-3.21
Dy 0.0592 0.7322 0.4607  2 Fe 2.67-2.70
Dy 0.9408 0.2678 0.5393  2 Fe 2.67-2.70
Dy 0.3650 0.2032 0.5956  2 Fe 2.93-3.01, 2 Hg 3.19-3.21
Dy 0.7968 0.6350 0.9044  2 Fe 2.93-3.01, 2 Hg 3.19-3.21
Dy 0.7322 0.0592 0.9607  2 Fe 2.67-2.70
Fe 0.0016 0.9984 0.2500  6 Dy 2.67-2.93
Fe 0.9984 0.0016 0.7500  6 Dy 2.67-2.93
Hg 0.6284 0.3716 0.2500  8 Dy 3.13-3.32
Hg 0.3716 0.6284 0.7500  8 Dy 3.13-3.32

# 5
Density functional theory data (PBE) for a relaxed Sr2NiAgAs4 crystal.

Values from the calculation:
SG   Amm2, No. 38
E   -4.415 eV/atom
Mass density   6.0 g cm⁻³

a = 4.6582 Å, b = 8.8670 Å, c = 8.8670 Å
α = 29.08°, β = 90.00°, γ = 90.00°
Last column: nearest neighbours and their distance in Å.
Positions (direct):
Ag 0.0000 0.3248 0.3248  5 As 2.56-2.72
As 0.5000 0.2428 0.2428  2 Ni 2.46, 2 Ag 2.72
As 0.0000 0.4739 0.4739  1 Ag 2.56, 2 As 2.60
As 0.5000 0.5411 0.5411  1 Ni 2.42, 2 As 2.60
As 0.0000 0.7379 0.7379  2 Ni 2.52, 2 Ag 2.68
Ni 0.5000 0.6820 0.6820  5 As 2.42-2.52
Sr 0.0000 0.1038 0.1038  10 As 3.15-3.40, 4 Ni 3.49
Sr 0.5000 0.8936 0.8936  10 As 3.37-3.55, 4 Ag 3.43, 1 Ni 3.63

# 6
Density functional theory data (PBE) for a relaxed Tb2ErGa3AgPt2 crystal.

Values from the calculation:
SG   Amm2, No. 38
E   -5.096 eV/atom
Mass density   10.9 g cm⁻³

a = 3.7327 Å, b = 7.5068 Å, c = 7.5068 Å
α = 119.88°, β = 90.00°, γ = 90.00°
Last column: nearest neighbours and their distance in Å.
Positions (direct):
Ag 0.0000 0.9986 0.9986  6 Ga 2.75-2.77, 1 Er 3.06, 2 Tb 3.07
Er 0.0000 0.5917 0.5917  4 Pt 2.92, 2 Ga 3.05, 1 Ag 3.06
Ga 0.5000 0.2714 0.2714  2 Pt 2.75, 2 Ag 2.77, 2 Er 3.05
Ga 0.5000 0.9988 0.7293  2 Ag 2.75, 2 Pt 2.76-2.80, 2 Tb 3.05
Ga 0.5000 0.7293 0.9988  2 Ag 2.75, 2 Pt 2.76-2.80, 2 Tb 3.05
Pt 0.5000 0.6656 0.3358  3 Ga 2.75-2.80, 2 Er 2.92, 4 Tb 2.95
Pt 0.5000 0.3358 0.6656  3 Ga 2.75-2.80, 2 Er 2.92, 4 Tb 2.95
Tb 0.0000 0.4084 0.0002  4 Pt 2.95, 6 Ga 3.05-3.29, 1 Ag 3.07
Tb 0.0000 0.0002 0.4084  4 Pt 2.95, 6 Ga 3.05-3.29, 1 Ag 3.07

# 7
Density functional theory data (PBE) for a relaxed HfBPO crystal.

Values from the calculation:
SG   Pmma, No. 51
E   -7.870 eV/atom
Mass density   7.1 g cm⁻³

a = 3.1866 Å, b = 6.5126 Å, c = 5.2971 Å
α = 90.00°, β = 90.00°, γ = 90.00°
Last column: nearest neighbours and their distance in Å.
Positions (direct):
B 0.0000 0.5808 0.4385  1 O 1.36
B 0.0000 0.4192 0.9385  1 O 1.36
Hf 0.5000 0.1417 0.4383  2 O 2.19
Hf 0.5000 0.8583 0.9383  2 O 2.19
O 0.0000 0.3714 0.4387  1 B 1.36
O 0.0000 0.6286 0.9387  1 B 1.36
P 0.5000 0.7455 0.4384  2 B 1.92
P 0.5000 0.2545 0.9384  2 B 1.92

# 8
Density functional theory data (PBE) for a relaxed CdFeBiOs crystal.

Values from the calculation:
SG   F-43m, No. 216
E   -5.339 eV/atom
Mass density   13.1 g cm⁻³

a = 4.6663 Å, b = 4.6663 Å, c = 4.6663 Å
α = 60.00°, β = 60.00°, γ = 60.00°
Last column: nearest neighbours and their distance in Å.
Positions (direct):
Bi 0.0000 0.0000 0.0000  4 Os 2.86, 4 Fe 2.86
Cd 0.5000 0.5000 0.5000  4 Os 2.86, 4 Fe 2.86
Fe 0.7500 0.7500 0.7500  4 Cd 2.86, 4 Bi 2.86
Os 0.2500 0.2500 0.2500  4 Cd 2.86, 4 Bi 2.86